# 1
The following is a DFT calculation (GGA-PBE) of a relaxed Na7Tl12Hg crystal.

## Properties
As for the calculated density: 7837 kg/m³. The total magnetization is 0.0 μB per formula unit. The value obtained for the energy of formation from the pure elements is -72 meV per atom. Its total energy is -39.36 eV for the cell shown.

Cell: 8.9522 8.9522 8.9522 Å, 107.08 107.08 107.08°
Last column: nearest neighbours and their distance in Å.
Fractional positions:
1 Na 0.0000 0.0000 0.0000  6 Tl 3.27
2 Na 0.0411 0.4113 0.3016  9 Tl 3.29-3.62
3 Na 0.3016 0.0411 0.4113  9 Tl 3.29-3.62
4 Na 0.4113 0.3016 0.0411  9 Tl 3.29-3.62
5 Na 0.5887 0.6984 0.9589  9 Tl 3.29-3.62
6 Na 0.6984 0.9589 0.5887  9 Tl 3.29-3.62
7 Na 0.9589 0.5887 0.6984  9 Tl 3.29-3.62
8 Tl 0.0188 0.3259 0.9002  6 Tl 3.26-3.56, 5 Na 3.27-3.46
9 Tl 0.0998 0.9812 0.6741  6 Tl 3.26-3.56, 5 Na 3.27-3.46
10 Tl 0.2293 0.3727 0.6633  5 Tl 3.26-3.54, 1 Hg 3.28, 5 Na 3.29-3.62
11 Tl 0.3259 0.9002 0.0188  6 Tl 3.26-3.56, 5 Na 3.27-3.46
12 Tl 0.3367 0.7707 0.6273  5 Tl 3.26-3.54, 1 Hg 3.28, 5 Na 3.29-3.62
13 Tl 0.3727 0.6633 0.2293  5 Tl 3.26-3.54, 1 Hg 3.28, 5 Na 3.29-3.62
14 Tl 0.6273 0.3367 0.7707  5 Tl 3.26-3.54, 1 Hg 3.28, 5 Na 3.29-3.62
15 Tl 0.6633 0.2293 0.3727  5 Tl 3.26-3.54, 1 Hg 3.28, 5 Na 3.29-3.62
16 Tl 0.6741 0.0998 0.9812  6 Tl 3.26-3.56, 5 Na 3.27-3.46
17 Tl 0.7707 0.6273 0.3367  5 Tl 3.26-3.54, 1 Hg 3.28, 5 Na 3.29-3.62
18 Tl 0.9002 0.0188 0.3259  6 Tl 3.26-3.56, 5 Na 3.27-3.46
19 Tl 0.9812 0.6741 0.0998  6 Tl 3.26-3.56, 5 Na 3.27-3.46
20 Hg 0.5000 0.5000 0.5000  6 Tl 3.28



# 2
The following is a DFT calculation (GGA-PBE) of a relaxed Tb3Ho4Tm5 crystal.

## Properties
As for the calculated density: 8970 kg/m³. The total magnetization is 0.0 μB per formula unit. The value obtained for the energy of formation from the pure elements is 22 meV per atom. Its total energy is -54.30 eV for the cell shown.

Cell: 6.0769 7.0249 8.5916 Å, 89.98 89.89 89.89°
Last column: nearest neighbours and their distance in Å.
Fractional positions:
1 Tb 0.0000 0.0000 0.0000  8 Tm 3.50-3.51, 2 Ho 3.51, 2 Tb 3.51
2 Tb 0.1667 0.2500 0.3331  5 Tm 3.50-3.52, 6 Ho 3.50-3.52, 1 Tb 3.51
3 Tb 0.8333 0.7500 0.6669  5 Tm 3.50-3.52, 6 Ho 3.50-3.52, 1 Tb 3.51
4 Ho 0.1674 0.7499 0.3329  5 Tm 3.50-3.52, 3 Ho 3.50-3.52, 4 Tb 3.51
5 Ho 0.3328 0.4999 0.6675  5 Tm 3.50-3.51, 3 Tb 3.50-3.52, 4 Ho 3.50-3.52
6 Ho 0.6672 0.5001 0.3325  5 Tm 3.50-3.51, 3 Tb 3.50-3.52, 4 Ho 3.50-3.52
7 Ho 0.8326 0.2501 0.6671  5 Tm 3.50-3.52, 3 Ho 3.50-3.52, 4 Tb 3.51
8 Tm 0.0000 0.5000 0.0000  4 Ho 3.50-3.51, 4 Tb 3.51, 4 Tm 3.51
9 Tm 0.3340 0.0000 0.6675  3 Tm 3.50-3.51, 4 Tb 3.50-3.52, 5 Ho 3.51-3.52
10 Tm 0.5002 0.2500 0.0001  3 Ho 3.50-3.51, 6 Tm 3.50-3.51, 3 Tb 3.50-3.51
11 Tm 0.4998 0.7500 0.9999  3 Ho 3.50-3.51, 6 Tm 3.50-3.51, 3 Tb 3.50-3.51
12 Tm 0.6660 0.0000 0.3325  3 Tm 3.50-3.51, 4 Tb 3.50-3.52, 5 Ho 3.51-3.52



# 3
The following is a DFT calculation (GGA-PBE) of a relaxed AcNd2Pd crystal.

## Properties
As for the calculated density: 8519 kg/m³. The total magnetization is 0.0 μB per formula unit. The value obtained for the energy of formation from the pure elements is -27 meV per atom. Its total energy is -18.94 eV for the cell shown.

Cell: 5.6034 5.6034 3.8608 Å, 90.00 90.00 90.00°
Last column: nearest neighbours and their distance in Å.
Fractional positions:
1 Ac 0.0000 0.0000 0.0000  8 Nd 3.40
2 Nd 0.0000 0.5000 0.5000  4 Ac 3.40, 4 Pd 3.40
3 Nd 0.5000 0.0000 0.5000  4 Ac 3.40, 4 Pd 3.40
4 Pd 0.5000 0.5000 0.0000  8 Nd 3.40



# 4
The following is a DFT calculation (GGA-PBE) of a relaxed LiMg4Mo crystal.

## Properties
As for the calculated density: 2563 kg/m³. The total magnetization is 3.5 μB per formula unit. The value obtained for the energy of formation from the pure elements is 511 meV per atom. Its total energy is -16.06 eV for the cell shown.

Cell: 5.6810 5.6810 5.6810 Å, 60.00 60.00 60.00°
Last column: nearest neighbours and their distance in Å.
Fractional positions:
1 Li 0.0000 0.0000 0.0000  12 Mg 3.33, 4 Mo 3.48
2 Mg 0.1263 0.6246 0.6246  6 Mg 2.83-2.85
3 Mg 0.6246 0.1263 0.6246  6 Mg 2.83-2.85
4 Mg 0.6246 0.6246 0.1263  6 Mg 2.83-2.85
5 Mg 0.6246 0.6246 0.6246  6 Mg 2.83-2.85
6 Mo 0.2500 0.2500 0.2500  12 Mg 3.33, 4 Li 3.48



# 5
The following is a DFT calculation (GGA-PBE) of a relaxed CePuSe2 crystal.

## Properties
For the uncorrected formation energy, the calculation gives -1625 meV per atom. As for the calculated density: 8660 kg/m³. The total magnetization is 7.0 μB per formula unit. Its total energy is -67.47 eV for the cell shown.

Cell: 4.1071 4.1071 14.2294 Å, 90.00 90.00 120.00°
Last column: nearest neighbours and their distance in Å.
Fractional positions:
1 Ce 0.0000 0.0000 0.0000  6 Se 2.96
2 Ce 0.0000 0.0000 0.5000  6 Se 2.96
3 Pu 0.3333 0.6667 0.2500  6 Se 2.96
4 Pu 0.6667 0.3333 0.7500  6 Se 2.96
5 Se 0.3333 0.6667 0.6249  3 Ce 2.96, 3 Pu 2.96
6 Se 0.3333 0.6667 0.8751  3 Ce 2.96, 3 Pu 2.96
7 Se 0.6667 0.3333 0.1249  3 Ce 2.96, 3 Pu 2.96
8 Se 0.6667 0.3333 0.3751  3 Ce 2.96, 3 Pu 2.96



# 6
The following is a DFT calculation (GGA-PBE) of a relaxed Na2CdIn6 crystal.

## Properties
As for the calculated density: 5901 kg/m³. The total magnetization is 0.0 μB per formula unit. The value obtained for the energy of formation from the pure elements is -48 meV per atom. Its total energy is -20.42 eV for the cell shown.

Cell: 9.1680 9.1680 3.2743 Å, 90.01 90.01 60.04°
Last column: nearest neighbours and their distance in Å.
Fractional positions:
1 Na 0.1667 0.1667 0.0000  2 Na 3.27, 12 In 3.47-3.48
2 Na 0.8333 0.8333 0.0000  2 Na 3.27, 12 In 3.47-3.48
3 Cd 0.5000 0.5000 0.0000  2 Cd 3.27, 12 In 3.45
4 In 0.1684 0.8316 0.5000  5 In 3.04-3.27
5 In 0.1688 0.4998 0.5015  5 In 3.04-3.27
6 In 0.4998 0.1688 0.5015  5 In 3.04-3.27
7 In 0.5002 0.8312 0.4985  5 In 3.04-3.27
8 In 0.8312 0.5002 0.4985  5 In 3.04-3.27
9 In 0.8316 0.1684 0.5000  5 In 3.04-3.27



# 7
The following is a DFT calculation (GGA-PBE) of a relaxed Ti6Sn3H crystal.

## Properties
As for the calculated density: 5953 kg/m³. The total magnetization is 0.0 μB per formula unit. Its total energy is -64.02 eV for the cell shown.

Cell: 5.5968 5.5968 7.0648 Å, 107.40 107.40 59.92°
Last column: nearest neighbours and their distance in Å.
Fractional positions:
1 Ti 0.1478 0.6519 0.6133  1 H 2.01
2 Ti 0.1667 0.1667 0.8125  1 H 2.24
3 Ti 0.3481 0.8522 0.3867  1 H 2.01
4 Ti 0.6519 0.1478 0.6133  1 H 2.01
5 Ti 0.8333 0.8333 0.1875  1 H 2.24
6 Ti 0.8522 0.3481 0.3867  1 H 2.01
7 Sn 0.3018 0.3018 0.2404  9 Ti 2.85-3.06, 1 Sn 2.97
8 Sn 0.5000 0.5000 0.0000  6 Ti 2.93-3.04, 2 Sn 2.97
9 Sn 0.6982 0.6982 0.7596  9 Ti 2.85-3.06, 1 Sn 2.97
10 H 0.0000 0.0000 0.5000  6 Ti 2.01-2.24



# 8
The following is a DFT calculation (GGA-PBE) of a relaxed Pu2BS4 crystal.

## Properties
For the uncorrected formation energy, the calculation gives -1144 meV per atom. As for the calculated density: 7491 kg/m³. The total magnetization is 0.0 μB per formula unit. Its total energy is -119.72 eV for the cell shown.

Cell: 6.0322 6.1726 7.8812 Å, 90.00 108.68 90.00°
Last column: nearest neighbours and their distance in Å.
Fractional positions:
1 Pu 0.2021 0.2500 0.0458  6 S 2.81-2.94
2 Pu 0.2887 0.2500 0.5725  6 S 2.80-3.01
3 Pu 0.7113 0.7500 0.4275  6 S 2.80-3.01
4 Pu 0.7979 0.7500 0.9542  6 S 2.81-2.94
5 B 0.2166 0.7500 0.7923  4 S 1.91-1.97
6 B 0.7834 0.2500 0.2077  4 S 1.91-1.97
7 S 0.0117 0.5059 0.7328  1 B 1.91
8 S 0.0117 0.9941 0.7328  1 B 1.91
9 S 0.3676 0.7500 0.0540  1 B 1.97
10 S 0.4142 0.7500 0.6373  1 B 1.96
11 S 0.5858 0.2500 0.3627  1 B 1.96
12 S 0.6324 0.2500 0.9460  1 B 1.97
13 S 0.9883 0.0059 0.2672  1 B 1.91
14 S 0.9883 0.4941 0.2672  1 B 1.91



# 9
The following is a DFT calculation (GGA-PBE) of a relaxed TbPr6Nd2Ho3 crystal.

## Properties
As for the calculated density: 7222 kg/m³. The total magnetization is 0.0 μB per formula unit. The value obtained for the energy of formation from the pure elements is 13 meV per atom. Its total energy is -56.42 eV for the cell shown.

Cell: 6.3395 6.3395 11.9974 Å, 95.04 95.04 120.01°
Last column: nearest neighbours and their distance in Å.
Fractional positions:
1 Tb 0.0000 0.0000 0.0000  6 Nd 3.66, 6 Pr 3.66
2 Pr 0.0844 0.4170 0.2533  3 Ho 3.60, 6 Pr 3.65-3.66, 1 Tb 3.66, 2 Nd 3.66
3 Pr 0.2482 0.2482 0.7465  3 Ho 3.60, 6 Pr 3.65-3.66, 1 Tb 3.66, 2 Nd 3.67
4 Pr 0.4170 0.0844 0.2533  3 Ho 3.60, 6 Pr 3.65-3.66, 1 Tb 3.66, 2 Nd 3.66
5 Pr 0.5830 0.9156 0.7467  3 Ho 3.60, 6 Pr 3.65-3.66, 1 Tb 3.66, 2 Nd 3.66
6 Pr 0.7518 0.7518 0.2535  3 Ho 3.60, 6 Pr 3.65-3.66, 1 Tb 3.66, 2 Nd 3.67
7 Pr 0.9156 0.5830 0.7467  3 Ho 3.60, 6 Pr 3.65-3.66, 1 Tb 3.66, 2 Nd 3.66
8 Nd 0.3332 0.6668 0.0000  3 Nd 3.66, 3 Tb 3.66, 6 Pr 3.66-3.67
9 Nd 0.6668 0.3332 0.0000  3 Nd 3.66, 3 Tb 3.66, 6 Pr 3.66-3.67
10 Ho 0.1665 0.8335 0.5000  6 Pr 3.60, 6 Ho 3.66
11 Ho 0.5000 0.5000 0.5000  6 Pr 3.60, 6 Ho 3.66
12 Ho 0.8335 0.1665 0.5000  6 Pr 3.60, 6 Ho 3.66



# 10
The following is a DFT calculation (GGA-PBE) of a relaxed AlIn2Bi2 crystal.

## Properties
As for the calculated density: 7555 kg/m³. The total magnetization is 0.0 μB per formula unit. The value obtained for the energy of formation from the pure elements is 243 meV per atom. Its total energy is -15.77 eV for the cell shown.

Cell: 9.3527 9.3527 9.3527 Å, 154.79 154.79 35.96°
Last column: nearest neighbours and their distance in Å.
Fractional positions:
1 Al 0.0000 0.0000 0.0000  8 Bi 3.29
2 In 0.2500 0.7500 0.5000  4 In 2.89
3 In 0.7500 0.2500 0.5000  4 In 2.89
4 Bi 0.4115 0.4115 0.0000  1 Bi 3.15, 4 Al 3.29, 4 In 3.52
5 Bi 0.5885 0.5885 0.0000  1 Bi 3.15, 4 Al 3.29, 4 In 3.52



# 11
The following is a DFT calculation (GGA-PBE) of a relaxed Li2Hg2PdAu crystal.

## Properties
As for the calculated density: 10813 kg/m³. The total magnetization is 0.0 μB per formula unit. The value obtained for the energy of formation from the pure elements is -318 meV per atom. Its total energy is -29.62 eV for the cell shown.

Cell: 7.9468 7.9468 7.9468 Å, 138.20 60.62 138.17°
Last column: nearest neighbours and their distance in Å.
Fractional positions:
1 Li 0.1357 0.2346 0.3704  2 Au 2.69, 5 Hg 2.73-2.96, 2 Pd 2.78
2 Li 0.3643 0.7346 0.0989  2 Au 2.69, 5 Hg 2.73-2.96, 2 Pd 2.78
3 Li 0.6357 0.2654 0.9011  2 Au 2.69, 5 Hg 2.73-2.96, 2 Pd 2.78
4 Li 0.8643 0.7654 0.6296  2 Au 2.69, 5 Hg 2.73-2.96, 2 Pd 2.78
5 Hg 0.1651 0.7179 0.8830  5 Li 2.73-2.96, 2 Pd 2.94
6 Hg 0.3349 0.2179 0.5528  5 Li 2.73-2.96, 2 Pd 2.94
7 Hg 0.6651 0.7821 0.4472  5 Li 2.73-2.96, 2 Pd 2.94
8 Hg 0.8349 0.2821 0.1170  5 Li 2.73-2.96, 2 Pd 2.94
9 Pd 0.2500 0.7500 0.5000  4 Li 2.78, 2 Au 2.83, 2 Pd 2.84, 4 Hg 2.94
10 Pd 0.7500 0.2500 0.5000  4 Li 2.78, 2 Au 2.83, 2 Pd 2.84, 4 Hg 2.94
11 Au 0.2500 0.2500 0.0000  4 Li 2.69, 2 Pd 2.83, 2 Au 2.84
12 Au 0.7500 0.7500 0.0000  4 Li 2.69, 2 Pd 2.83, 2 Au 2.84



# 12
The following is a DFT calculation (GGA-PBE) of a relaxed Tb2Ga9Ru3 crystal.

## Properties
As for the calculated density: 8707 kg/m³. The total magnetization is 0.0 μB per formula unit. The value obtained for the energy of formation from the pure elements is -545 meV per atom. Its total energy is -143.92 eV for the cell shown.

Cell: 7.4871 7.4871 9.7332 Å, 90.00 90.00 60.79°
Last column: nearest neighbours and their distance in Å.
Fractional positions:
1 Tb 0.0019 0.6743 0.7500  11 Ga 3.04-3.17
2 Tb 0.3257 0.9981 0.7500  11 Ga 3.04-3.17
3 Tb 0.6743 0.0019 0.2500  11 Ga 3.04-3.17
4 Tb 0.9981 0.3257 0.2500  11 Ga 3.04-3.17
5 Ga 0.0088 0.6627 0.0761  3 Ru 2.55-2.60, 3 Ga 2.73-2.80
6 Ga 0.0088 0.6627 0.4239  3 Ru 2.55-2.60, 3 Ga 2.73-2.80
7 Ga 0.1318 0.8682 0.2500  2 Ru 2.63, 6 Ga 2.73-2.76
8 Ga 0.3372 0.9912 0.0761  3 Ru 2.55-2.60, 3 Ga 2.73-2.80
9 Ga 0.3372 0.9912 0.4239  3 Ru 2.55-2.60, 3 Ga 2.73-2.80
10 Ga 0.3382 0.6618 0.5611  3 Ru 2.63-2.65, 5 Ga 2.72-2.82
11 Ga 0.3382 0.6618 0.9389  3 Ru 2.63-2.65, 5 Ga 2.72-2.82
12 Ga 0.3390 0.4465 0.2500  2 Ru 2.62, 6 Ga 2.76-2.82
13 Ga 0.4465 0.3390 0.7500  2 Ru 2.62, 6 Ga 2.76-2.82
14 Ga 0.5535 0.6610 0.2500  2 Ru 2.62, 6 Ga 2.76-2.82
15 Ga 0.6610 0.5535 0.7500  2 Ru 2.62, 6 Ga 2.76-2.82
16 Ga 0.6618 0.3382 0.0611  3 Ru 2.63-2.65, 5 Ga 2.72-2.82
17 Ga 0.6618 0.3382 0.4389  3 Ru 2.63-2.65, 5 Ga 2.72-2.82
18 Ga 0.6627 0.0088 0.5761  3 Ru 2.55-2.60, 3 Ga 2.73-2.80
19 Ga 0.6627 0.0088 0.9239  3 Ru 2.55-2.60, 3 Ga 2.73-2.80
20 Ga 0.8682 0.1318 0.7500  2 Ru 2.63, 6 Ga 2.73-2.76
21 Ga 0.9912 0.3372 0.5761  3 Ru 2.55-2.60, 3 Ga 2.73-2.80
22 Ga 0.9912 0.3372 0.9239  3 Ru 2.55-2.60, 3 Ga 2.73-2.80
23 Ru 0.0000 0.0000 0.0000  8 Ga 2.60-2.63
24 Ru 0.0000 0.0000 0.5000  8 Ga 2.60-2.63
25 Ru 0.3240 0.3240 0.0000  8 Ga 2.55-2.65
26 Ru 0.3240 0.3240 0.5000  8 Ga 2.55-2.65
27 Ru 0.6760 0.6760 0.0000  8 Ga 2.55-2.65
28 Ru 0.6760 0.6760 0.5000  8 Ga 2.55-2.65